1.
Entry from Alexandria via LeMat-Bulk: crystalline ZrCoRe4 at its relaxed geometry (GGA-PBE).

a b c (Å): 5.205 5.205 5.205
angles (deg): 60.00 60.00 60.00
Sites, in units of the cell vectors:
Zr (0.750, 0.750, 0.750)
Co (0.000, 0.000, 0.000)
Re (0.876, 0.375, 0.375)
Re (0.375, 0.375, 0.876)
Re (0.375, 0.876, 0.375)
Re (0.375, 0.375, 0.375)

Computed properties:
The crystal system is cubic. The total energy comes out at -10.757 eV/atom. The value obtained for the formation energy is 0.15 eV per atom.

2.
Entry from Alexandria via LeMat-Bulk: crystalline TaTl3Sn3S8 at its relaxed geometry (GGA-PBE).

a b c (Å): 7.833 7.817 8.785
angles (deg): 116.21 90.00 120.07
Sites, in units of the cell vectors:
Ta (0.000, 0.000, 0.500)
Tl (0.000, 0.000, 0.000)
Tl (0.000, 0.500, 0.000)
Tl (0.500, 0.500, 0.000)
Sn (0.500, 0.000, 0.500)
Sn (0.500, 0.500, 0.500)
Sn (0.000, 0.500, 0.500)
S (0.263, 0.525, 0.291)
S (0.737, 0.475, 0.709)
S (0.787, 0.573, 0.316)
S (0.213, 0.427, 0.684)
S (0.788, 0.030, 0.316)
S (0.212, 0.970, 0.684)
S (0.243, 0.030, 0.316)
S (0.757, 0.970, 0.684)

Computed properties:
The crystal system is monoclinic. The uncorrected formation energy is -8.19 eV/f.u. The total energy comes out at -4.811 eV/atom.

3.
Entry from Alexandria via LeMat-Bulk: crystalline Rb2CuAgI5 at its relaxed geometry (GGA-PBE).

a b c (Å): 4.415 12.020 14.104
angles (deg): 90.00 90.00 100.58
Sites, in units of the cell vectors:
Rb (0.888, 0.777, 0.796)
Rb (0.126, 0.252, 0.683)
Rb (0.112, 0.223, 0.296)
Rb (0.874, 0.748, 0.183)
Cu (0.566, 0.131, 0.941)
Cu (0.434, 0.869, 0.441)
Ag (0.778, 0.555, 0.531)
Ag (0.222, 0.445, 0.031)
I (0.342, 0.684, 0.986)
I (0.674, 0.349, 0.907)
I (0.514, 0.027, 0.777)
I (0.283, 0.567, 0.672)
I (0.964, 0.928, 0.530)
I (0.658, 0.316, 0.486)
I (0.326, 0.651, 0.407)
I (0.486, 0.973, 0.277)
I (0.717, 0.433, 0.172)
I (0.036, 0.072, 0.030)

Computed properties:
The crystal system is orthorhombic. The uncorrected formation energy is -6.48 eV/f.u. The total energy comes out at -2.568 eV/atom.

4.
Entry from Alexandria via LeMat-Bulk: crystalline LaMoBr4 at its relaxed geometry (GGA-PBE).

a b c (Å): 6.303 6.303 6.303
angles (deg): 60.00 60.00 60.00
Sites, in units of the cell vectors:
La (0.750, 0.750, 0.750)
Mo (0.000, 0.000, 0.000)
Br (0.875, 0.375, 0.375)
Br (0.375, 0.375, 0.875)
Br (0.375, 0.875, 0.375)
Br (0.375, 0.375, 0.375)

Computed properties:
The crystal system is cubic. The uncorrected formation energy is 2.18 eV/f.u. The total energy comes out at -3.378 eV/atom.

5.
Entry from Alexandria via LeMat-Bulk: crystalline Nd6Ga2SBr3 at its relaxed geometry (GGA-PBE).

a b c (Å): 7.320 7.320 7.735
angles (deg): 99.07 99.07 119.95
Sites, in units of the cell vectors:
Nd (0.928, 0.601, 0.786)
Nd (0.743, 0.743, 0.214)
Nd (0.072, 0.399, 0.214)
Nd (0.601, 0.928, 0.786)
Nd (0.257, 0.257, 0.786)
Nd (0.399, 0.072, 0.214)
Ga (0.333, 0.667, 0.000)
Ga (0.667, 0.333, 0.000)
S (0.000, 0.000, 0.000)
Br (0.171, 0.829, 0.500)
Br (0.829, 0.171, 0.500)
Br (0.500, 0.500, 0.500)

Computed properties:
The crystal system is monoclinic. The uncorrected formation energy is -13.95 eV/f.u. The total energy comes out at -4.813 eV/atom.

6.
Entry from Alexandria via LeMat-Bulk: crystalline HoTm3Pu at its relaxed geometry (GGA-PBE).

a b c (Å): 6.059 8.999 11.687
angles (deg): 111.20 90.00 90.00
Sites, in units of the cell vectors:
Ho (0.831, 0.552, 0.403)
Ho (0.669, 0.052, 0.903)
Ho (0.331, 0.948, 0.097)
Ho (0.169, 0.448, 0.597)
Tm (0.337, 0.350, 0.299)
Tm (0.163, 0.649, 0.200)
Tm (0.163, 0.850, 0.799)
Tm (0.831, 0.950, 0.598)
Tm (0.337, 0.149, 0.700)
Tm (0.331, 0.550, 0.902)
Tm (0.669, 0.450, 0.098)
Tm (0.663, 0.851, 0.300)
Tm (0.169, 0.050, 0.402)
Tm (0.837, 0.150, 0.201)
Tm (0.837, 0.351, 0.800)
Tm (0.663, 0.650, 0.701)
Pu (0.171, 0.250, 0.000)
Pu (0.329, 0.750, 0.500)
Pu (0.671, 0.250, 0.500)
Pu (0.829, 0.750, 0.000)

Computed properties:
The crystal system is monoclinic. The total energy comes out at -6.400 eV/atom. The value obtained for the formation energy is 0.06 eV per atom. Its energy above the most stable polymorph in this dataset is 0.000 eV per atom.

7.
Entry from Alexandria via LeMat-Bulk: crystalline PuNp4P5 at its relaxed geometry (GGA-PBE).

a b c (Å): 5.615 6.876 6.876
angles (deg): 80.40 65.90 65.90
Sites, in units of the cell vectors:
Pu (0.001, 0.000, 0.000)
Np (0.400, 0.400, 0.801)
Np (0.801, 0.801, 0.600)
Np (0.201, 0.199, 0.400)
Np (0.602, 0.600, 0.199)
P (0.900, 0.402, 0.799)
P (0.302, 0.799, 0.598)
P (0.700, 0.201, 0.402)
P (0.102, 0.598, 0.201)
P (0.501, 0.000, 0.000)

Computed properties:
The crystal system is tetragonal. The total energy comes out at -10.238 eV/atom. The value obtained for the formation energy is -0.92 eV per atom.

8.
Entry from Alexandria via LeMat-Bulk: crystalline Nd3Mg7Rh4 at its relaxed geometry (GGA-PBE).

a b c (Å): 4.247 8.379 9.229
angles (deg): 73.46 76.70 75.32
Sites, in units of the cell vectors:
Nd (0.301, 0.180, 0.217)
Nd (0.699, 0.820, 0.783)
Nd (0.000, 0.500, 0.500)
Mg (0.320, 0.849, 0.510)
Mg (0.486, 0.238, 0.789)
Mg (0.831, 0.409, 0.929)
Mg (0.680, 0.151, 0.490)
Mg (0.169, 0.591, 0.071)
Mg (0.000, 0.000, 0.000)
Mg (0.514, 0.762, 0.211)
Rh (0.666, 0.428, 0.239)
Rh (0.334, 0.572, 0.761)
Rh (0.893, 0.904, 0.311)
Rh (0.107, 0.096, 0.689)

Computed properties:
The crystal system is monoclinic. The total energy comes out at -4.375 eV/atom. The value obtained for the formation energy is -0.46 eV per atom.

9.
Entry from Alexandria via LeMat-Bulk: crystalline TcMoSe2 at its relaxed geometry (GGA-PBE).

a b c (Å): 3.202 3.202 8.031
angles (deg): 90.00 90.00 122.62
Sites, in units of the cell vectors:
Mo (0.500, 0.500, 0.750)
Se (0.000, 0.000, 0.002)
Se (0.000, 0.000, 0.498)
Tc (0.500, 0.500, 0.250)

Computed properties:
The crystal system is orthorhombic. The uncorrected formation energy is 2.37 eV/f.u. The total energy comes out at -6.449 eV/atom. Its energy above the most stable polymorph in this dataset is 0.778 eV per atom.

10.
Entry from Alexandria via LeMat-Bulk: crystalline TaRe3Pt at its relaxed geometry (GGA-PBE).

a b c (Å): 4.686 4.686 4.686
angles (deg): 90.00 90.00 90.00
Sites, in units of the cell vectors:
Re (0.000, 0.500, 0.000)
Re (0.000, 0.000, 0.500)
Re (0.500, 0.000, 0.000)
Pt (0.000, 0.000, 0.000)
Ta (0.500, 0.500, 0.500)

Computed properties:
The crystal system is cubic. The total energy comes out at -8.717 eV/atom. The value obtained for the formation energy is 2.33 eV per atom. Its energy above the most stable polymorph in this dataset is 0.000 eV per atom.

11.
Entry from Alexandria via LeMat-Bulk: crystalline BaCa2TlP at its relaxed geometry (GGA-PBE).

a b c (Å): 5.490 5.490 6.317
angles (deg): 90.00 90.00 90.00
Sites, in units of the cell vectors:
P (0.000, 0.000, 0.000)
Tl (0.500, 0.500, 0.500)
Ca (0.000, 0.500, 0.000)
Ca (0.500, 0.000, 0.000)
Ba (0.000, 0.000, 0.500)

Computed properties:
The crystal system is tetragonal. The total energy comes out at -3.323 eV/atom. The value obtained for the formation energy is -0.58 eV per atom.

12.
Entry from Alexandria via LeMat-Bulk: crystalline Pa2Zn2Fe15 at its relaxed geometry (GGA-PBE).

a b c (Å): 6.391 6.391 6.391
angles (deg): 81.19 81.19 81.19
Sites, in units of the cell vectors:
Pa (0.345, 0.345, 0.345)
Pa (0.655, 0.655, 0.655)
Zn (0.097, 0.097, 0.097)
Zn (0.903, 0.903, 0.903)
Fe (0.500, 0.000, 0.000)
Fe (0.000, 0.000, 0.500)
Fe (0.000, 0.500, 0.000)
Fe (0.000, 0.690, 0.310)
Fe (0.690, 0.310, 0.000)
Fe (0.310, 0.000, 0.690)
Fe (0.310, 0.690, 0.000)
Fe (0.690, 0.000, 0.310)
Fe (0.000, 0.310, 0.690)
Fe (0.160, 0.658, 0.658)
Fe (0.658, 0.658, 0.160)
Fe (0.658, 0.160, 0.658)
Fe (0.840, 0.342, 0.342)
Fe (0.342, 0.342, 0.840)
Fe (0.342, 0.840, 0.342)

Computed properties:
The crystal system is trigonal. The total energy comes out at -7.854 eV/atom. The value obtained for the formation energy is -0.04 eV per atom.

13.
Entry from Alexandria via LeMat-Bulk: crystalline Ac2Tb7Er3 at its relaxed geometry (GGA-PBE).

a b c (Å): 3.599 6.424 17.539
angles (deg): 90.17 90.00 90.00
Sites, in units of the cell vectors:
Ac (0.500, 0.491, 0.325)
Ac (0.500, 0.509, 0.675)
Tb (0.500, 0.238, 0.501)
Tb (0.500, 0.762, 0.499)
Tb (0.000, 0.323, 0.159)
Tb (0.000, 0.000, 0.000)
Tb (0.000, 0.677, 0.841)
Tb (0.500, 0.168, 0.837)
Tb (0.500, 0.832, 0.163)
Er (0.500, 0.500, 0.000)
Er (0.000, 0.999, 0.342)
Er (0.000, 0.001, 0.658)

Computed properties:
The crystal system is monoclinic. The total energy comes out at -4.424 eV/atom. The value obtained for the formation energy is 0.10 eV per atom.

14.
Entry from Alexandria via LeMat-Bulk: crystalline Na2SiHgO4 at its relaxed geometry (GGA-PBE).

a b c (Å): 5.783 5.783 5.783
angles (deg): 76.68 127.96 127.96
Sites, in units of the cell vectors:
Na (0.500, 0.750, 0.250)
Na (0.000, 0.000, 0.000)
Si (0.000, 0.500, 0.500)
Hg (0.500, 0.250, 0.750)
O (0.614, 0.408, 0.408)
O (0.000, 0.206, 0.592)
O (0.000, 0.592, 0.206)
O (0.386, 0.794, 0.794)

Computed properties:
The crystal system is tetragonal. The uncorrected formation energy is -14.40 eV/f.u. The total energy comes out at -5.325 eV/atom.

15.
Entry from Alexandria via LeMat-Bulk: crystalline CaTb4SmTe8 at its relaxed geometry (GGA-PBE).

a b c (Å): 9.131 9.131 9.162
angles (deg): 60.11 60.11 60.00
Sites, in units of the cell vectors:
Ca (0.374, 0.374, 0.878)
Tb (0.626, 0.626, 0.123)
Tb (0.002, 0.494, 0.502)
Tb (0.494, 0.002, 0.502)
Tb (0.002, 0.002, 0.502)
Sm (0.002, 0.002, 0.993)
Te (0.244, 0.777, 0.736)
Te (0.777, 0.244, 0.736)
Te (0.244, 0.244, 0.736)
Te (0.240, 0.240, 0.280)
Te (0.755, 0.227, 0.262)
Te (0.227, 0.755, 0.262)
Te (0.755, 0.755, 0.262)
Te (0.758, 0.758, 0.725)

Computed properties:
The crystal system is trigonal. The uncorrected formation energy is -18.61 eV/f.u. The total energy comes out at -4.928 eV/atom.

16.
Entry from Alexandria via LeMat-Bulk: crystalline LaGeAu at its relaxed geometry (GGA-PBE).

a b c (Å): 6.096 6.092 4.643
angles (deg): 112.39 112.38 80.08
Sites, in units of the cell vectors:
Ge (0.925, 0.184, 0.852)
Ge (0.782, 0.333, 0.355)
Au (0.256, 0.856, 0.853)
Au (0.451, 0.660, 0.353)
La (0.853, 0.758, 0.103)
La (0.354, 0.258, 0.603)

Computed properties:
The crystal system is monoclinic. The total energy comes out at -5.022 eV/atom. The value obtained for the formation energy is -0.75 eV per atom.

17.
Entry from Alexandria via LeMat-Bulk: crystalline Zn2W2Au at its relaxed geometry (GGA-PBE).

a b c (Å): 7.217 7.217 7.217
angles (deg): 151.04 151.04 41.42
Sites, in units of the cell vectors:
Zn (0.593, 0.593, 0.000)
Zn (0.407, 0.407, 0.000)
W (0.250, 0.750, 0.500)
W (0.750, 0.250, 0.500)
Au (0.000, 0.000, 0.000)

Computed properties:
The crystal system is tetragonal. The total energy comes out at -5.719 eV/atom. The value obtained for the formation energy is 0.63 eV per atom. Its energy above the most stable polymorph in this dataset is 0.000 eV per atom.

18.
Entry from Alexandria via LeMat-Bulk: crystalline SrSc2UO8 at its relaxed geometry (GGA-PBE).

a b c (Å): 4.952 4.938 7.248
angles (deg): 90.00 90.00 88.72
Sites, in units of the cell vectors:
Sr (0.000, 0.000, 0.500)
Sc (0.500, 0.500, 0.788)
Sc (0.500, 0.500, 0.212)
U (0.000, 0.000, 0.000)
O (0.192, 0.801, 0.214)
O (0.689, 0.695, 0.000)
O (0.808, 0.199, 0.214)
O (0.808, 0.199, 0.786)
O (0.311, 0.305, 0.000)
O (0.192, 0.801, 0.786)
O (0.601, 0.613, 0.500)
O (0.399, 0.387, 0.500)

Computed properties:
The crystal system is monoclinic. The uncorrected formation energy is -35.30 eV/f.u. The total energy comes out at -8.383 eV/atom.

19.
Entry from Alexandria via LeMat-Bulk: crystalline Th3Zn9Ni2 at its relaxed geometry (GGA-PBE).

a b c (Å): 4.422 8.095 8.095
angles (deg): 68.54 74.15 74.15
Sites, in units of the cell vectors:
Th (0.000, 0.000, 0.000)
Th (0.695, 0.305, 0.305)
Th (0.305, 0.695, 0.695)
Zn (0.000, 0.500, 0.500)
Zn (0.656, 0.988, 0.701)
Zn (0.344, 0.012, 0.299)
Zn (0.656, 0.701, 0.988)
Zn (0.344, 0.299, 0.012)
Zn (0.871, 0.846, 0.412)
Zn (0.129, 0.154, 0.588)
Zn (0.871, 0.412, 0.846)
Zn (0.129, 0.588, 0.154)
Ni (0.500, 0.322, 0.678)
Ni (0.500, 0.678, 0.322)

Computed properties:
The crystal system is orthorhombic. The total energy comes out at -3.524 eV/atom. The value obtained for the formation energy is -0.29 eV per atom.

20.
Entry from Alexandria via LeMat-Bulk: crystalline MgTc2Pb at its relaxed geometry (GGA-PBE).

a b c (Å): 4.942 4.942 4.942
angles (deg): 130.75 124.63 77.23
Sites, in units of the cell vectors:
Mg (0.510, 0.510, 0.000)
Pb (0.234, 0.734, 0.500)
Tc (0.966, 0.966, 0.000)
Tc (0.790, 0.290, 0.500)

Computed properties:
The crystal system is orthorhombic. The total energy comes out at -6.095 eV/atom. The value obtained for the formation energy is 0.41 eV per atom. Its energy above the most stable polymorph in this dataset is 0.291 eV per atom.